# 1
# NbHgCS2 (PBE, relaxed)
# Raw formation energy (meV per atom): 974.9
# E (Ry per atom): -0.338
data_NbHgCS2
_cell_length_a 4.386
_cell_length_b 4.386
_cell_length_c 4.305
_cell_angle_alpha 90.00
_cell_angle_beta 90.00
_cell_angle_gamma 90.00
_symmetry_space_group_name_H-M 'P 4/m m m'
_symmetry_Int_Tables_number 123
_symmetry_space_group_name_Hall '-P 4 2'
loop_
_atom_site_label
_atom_site_type_symbol
_atom_site_fract_x
_atom_site_fract_y
_atom_site_fract_z
Nb1 Nb 0.000 0.000 0.000
Hg1 Hg 0.500 0.500 0.000
C1 C 0.000 0.000 0.500
S1 S 0.000 0.500 0.500



# 2
# NbSi2HgC (PBE, relaxed)
# Raw formation energy (meV per atom): 674.1
# E (Ry per atom): -0.398
data_NbSi2HgC
_cell_length_a 4.162
_cell_length_b 4.162
_cell_length_c 4.392
_cell_angle_alpha 90.00
_cell_angle_beta 90.00
_cell_angle_gamma 90.00
_symmetry_space_group_name_H-M 'P 4/m m m'
_symmetry_Int_Tables_number 123
_symmetry_space_group_name_Hall '-P 4 2'
loop_
_atom_site_label
_atom_site_type_symbol
_atom_site_fract_x
_atom_site_fract_y
_atom_site_fract_z
Nb1 Nb 0.000 0.000 0.000
Si1 Si 0.000 0.500 0.500
Hg1 Hg 0.500 0.500 0.000
C1 C 0.000 0.000 0.500



# 3
# Nb2TlHgC (PBE, relaxed)
# ΔH_f (0 K) (eV/atom): 3.026
# E (Ry per atom): -0.248
data_Nb2TlHgC
_cell_length_a 5.358
_cell_length_b 5.358
_cell_length_c 5.255
_cell_angle_alpha 90.00
_cell_angle_beta 90.00
_cell_angle_gamma 90.00
_symmetry_space_group_name_H-M 'P 4/m m m'
_symmetry_Int_Tables_number 123
_symmetry_space_group_name_Hall '-P 4 2'
loop_
_atom_site_label
_atom_site_type_symbol
_atom_site_fract_x
_atom_site_fract_y
_atom_site_fract_z
Nb1 Nb 0.000 0.500 0.000
Tl1 Tl 0.000 0.000 0.000
Hg1 Hg 0.000 0.000 0.500
C1 C 0.500 0.500 0.500



# 4
# Y2NbHgC (PBE, relaxed)
# ΔH_f (0 K) (eV/atom): -0.271
# E (Ry per atom): -0.498
data_Y2NbHgC
_cell_length_a 4.969
_cell_length_b 4.969
_cell_length_c 4.301
_cell_angle_alpha 90.00
_cell_angle_beta 90.00
_cell_angle_gamma 90.00
_symmetry_space_group_name_H-M 'P 4/m m m'
_symmetry_Int_Tables_number 123
_symmetry_space_group_name_Hall '-P 4 2'
loop_
_atom_site_label
_atom_site_type_symbol
_atom_site_fract_x
_atom_site_fract_y
_atom_site_fract_z
Y1 Y 0.000 0.500 0.000
Nb1 Nb 0.000 0.000 0.500
Hg1 Hg 0.500 0.500 0.500
C1 C 0.000 0.000 0.000



# 5
# ZrNbHgC (PBE, relaxed)
# ΔH_f (0 K) (eV/atom): -0.431
# E (Ry per atom): -0.549
data_ZrNbHgC
_cell_length_a 3.2793
_cell_length_b 3.2793
_cell_length_c 22.0853
_cell_angle_alpha 90.00
_cell_angle_beta 90.00
_cell_angle_gamma 120.00
_symmetry_space_group_name_H-M 'R 3 m'
_symmetry_Int_Tables_number 160
_symmetry_space_group_name_Hall 'R 3 -2"'
loop_
_atom_site_label
_atom_site_type_symbol
_atom_site_fract_x
_atom_site_fract_y
_atom_site_fract_z
Zr1 Zr 0.0000 0.0000 0.0000
Nb1 Nb 0.0000 0.0000 0.7767
Hg1 Hg 0.0000 0.0000 0.2198
C1 C 0.0000 0.0000 0.3929



# 6
# Zr2NbHgC (PBE, relaxed)
# ΔH_f (0 K) (eV/atom): -0.363
# E (Ry per atom): -0.566
data_Zr2NbHgC
_cell_length_a 4.606
_cell_length_b 4.606
_cell_length_c 4.290
_cell_angle_alpha 90.00
_cell_angle_beta 90.00
_cell_angle_gamma 90.00
_symmetry_space_group_name_H-M 'P 4/m m m'
_symmetry_Int_Tables_number 123
_symmetry_space_group_name_Hall '-P 4 2'
loop_
_atom_site_label
_atom_site_type_symbol
_atom_site_fract_x
_atom_site_fract_y
_atom_site_fract_z
Zr1 Zr 0.000 0.500 0.000
Nb1 Nb 0.000 0.000 0.500
Hg1 Hg 0.500 0.500 0.500
C1 C 0.000 0.000 0.000



# 7
# NdHgC (PBE, relaxed)
# Energy above the most stable polymorph in this dataset (meV per atom): 0
# ΔH_f (0 K) (eV/atom): -0.290
# E (Ry per atom): -0.372
data_NdHgC
_cell_length_a 7.808
_cell_length_b 3.805
_cell_length_c 9.652
_cell_angle_alpha 90.00
_cell_angle_beta 107.28
_cell_angle_gamma 90.00
_symmetry_space_group_name_H-M 'C 1 2/m 1'
_symmetry_Int_Tables_number 12
_symmetry_space_group_name_Hall '-C 2y'
loop_
_atom_site_label
_atom_site_type_symbol
_atom_site_fract_x
_atom_site_fract_y
_atom_site_fract_z
Nd1 Nd 0.089 0.000 0.347
Hg1 Hg 0.185 0.500 0.097
C1 C 0.088 0.500 0.534



# 8
# Nd6Hg3C (PBE, relaxed)
# Energy above the most stable polymorph in this dataset (meV per atom): 10
# ΔH_f (0 K) (eV/atom): -0.261
# E (Ry per atom): -0.304
data_Nd6Hg3C
_cell_length_a 6.379
_cell_length_b 8.862
_cell_length_c 10.810
_cell_angle_alpha 101.09
_cell_angle_beta 90.70
_cell_angle_gamma 108.35
_symmetry_space_group_name_H-M 'P -1'
_symmetry_Int_Tables_number 2
_symmetry_space_group_name_Hall '-P 1'
loop_
_atom_site_label
_atom_site_type_symbol
_atom_site_fract_x
_atom_site_fract_y
_atom_site_fract_z
Nd1 Nd 0.004 0.305 0.490
Nd2 Nd 0.095 0.465 0.210
Nd3 Nd 0.206 0.304 0.885
Nd4 Nd 0.281 0.041 0.104
Nd5 Nd 0.459 0.612 0.651
Nd6 Nd 0.475 0.166 0.627
Hg1 Hg 0.114 0.980 0.364
Hg2 Hg 0.202 0.910 0.802
Hg3 Hg 0.323 0.687 0.008
C1 C 0.299 0.570 0.428



Number 1: size of the total moment 0.02 Bohr magnetons per cell. Number 2: size of the total moment 0.00 Bohr magnetons per cell. Number 3: size of the total moment 3.33 Bohr magnetons per cell. Number 4: size of the total moment 1.40 Bohr magnetons per cell. Number 5: size of the total moment 0.00 Bohr magnetons per cell. Number 6: size of the total moment 0.00 Bohr magnetons per cell. Number 7: size of the total moment 0.00 Bohr magnetons per cell. Number 8: size of the total moment 0.00 Bohr magnetons per cell.